1.
DFT (GGA-PBE) results for crystalline Ce4ThIn2 at its relaxed geometry.

Structure (POSCAR):
```
Ce4ThIn2
1.0
0.000 5.412 5.694
3.113 0.000 5.694
3.113 5.412 0.000
Ce Th In
4 1 2
Cartesian
1.556 2.706 0.000
1.556 2.706 2.847
1.556 2.706 5.694
4.669 8.118 8.542
0.000 0.000 0.000
3.113 5.412 4.112
3.113 5.412 7.277
```

Results
- SG: No. 69
- Total energy: -0.192 hartree per atom
- Calculated formation energy: -3 meV/atom

***

2.
DFT (GGA-PBE) results for crystalline SrTaTe2 at its relaxed geometry.

Structure (POSCAR):
```
SrTaTe2
1.0
3.910 0.000 0.000
0.000 3.920 0.000
0.000 0.000 7.862
Sr Ta Te
1 1 2
Cartesian
0.000 0.000 0.000
1.955 0.000 3.931
1.955 1.960 1.944
1.955 1.960 5.918
```

Results
- SG: No. 47
- Total energy: -0.191 hartree per atom
- Energy above the lowest structure with this stoichiometry: 5.29 kcal/mol of atoms
- Energy relative to the elements, uncorrected: -0.24 eV/atom

***

3.
DFT (GGA-PBE) results for crystalline Al2CrCl8 at its relaxed geometry.

Structure (POSCAR):
```
Al2CrCl8
1.0
8.961 -4.392 0.000
8.961 4.392 0.000
-7.397 0.000 9.141
Al Cr Cl
4 2 16
Cartesian
0.359 2.299 8.837
6.466 2.299 4.875
4.058 -2.299 4.266
10.165 -2.299 0.305
7.111 4.215 2.285
3.413 -4.215 6.856
2.507 0.310 0.029
1.674 2.621 7.139
5.387 2.422 2.987
-1.192 -0.310 4.600
-0.754 0.534 8.590
5.151 2.621 6.573
8.836 2.422 1.584
2.944 -0.534 4.019
7.580 0.534 5.122
1.688 -2.422 7.557
5.373 -2.621 2.568
11.278 -0.534 0.551
11.716 0.310 4.541
5.137 -2.422 6.155
8.850 -2.621 2.003
8.017 -0.310 9.112
```

Results
- SG: No. 15
- Total energy: -0.156 hartree per atom
- Energy above the lowest structure with this stoichiometry: 0.37 kcal/mol of atoms
- Energy relative to the elements, uncorrected: -1.35 eV/atom

***

4.
DFT (GGA-PBE) results for crystalline Pu4Ga3Hg at its relaxed geometry.

Structure (POSCAR):
```
Pu4Ga3Hg
1.0
4.422 0.000 0.000
0.000 4.524 0.000
0.000 0.000 9.045
Pu Ga Hg
4 3 1
Cartesian
0.000 0.000 0.000
0.000 0.000 4.522
0.000 2.262 2.135
0.000 2.262 6.909
2.211 0.000 2.232
2.211 0.000 6.813
2.211 2.262 0.000
2.211 2.262 4.522
```

Results
- SG: No. 47
- Total energy: -0.314 hartree per atom
- Calculated formation energy: -199 meV/atom

***

5.
DFT (GGA-PBE) results for crystalline LiFeHg2 at its relaxed geometry.

Structure (POSCAR):
```
LiFeHg2
1.0
-1.526 2.351 5.014
1.526 -2.351 5.014
1.526 2.351 -5.014
Li Fe Hg
1 1 2
Cartesian
0.000 0.000 0.000
0.000 2.351 2.563
1.526 0.000 2.584
0.000 0.000 5.249
```

Results
- SG: No. 44
- Total energy: -0.094 hartree per atom
- Calculated formation energy: 179 meV/atom

***

6.
DFT (GGA-PBE) results for crystalline NaSrCe at its relaxed geometry.

Structure (POSCAR):
```
NaSrCe
1.0
4.006 0.000 0.000
0.000 4.006 0.000
0.000 0.000 14.633
Na Sr Ce
2 2 2
Cartesian
1.002 1.002 1.073
3.005 3.005 13.561
1.002 1.002 10.745
3.005 3.005 3.889
1.002 3.005 7.317
3.005 1.002 7.317
```

Results
- SG: No. 129
- Total energy: -0.101 hartree per atom
- Calculated formation energy: 239 meV/atom

***

7.
DFT (GGA-PBE) results for crystalline HoScCdPd at its relaxed geometry.

Structure (POSCAR):
```
HoScCdPd
1.0
3.429 0.000 0.000
0.000 3.429 0.000
0.000 0.000 7.425
Ho Sc Cd Pd
1 1 1 1
Cartesian
0.000 0.000 0.000
0.000 0.000 4.124
1.715 1.715 2.207
1.715 1.715 5.583
```

Results
- SG: No. 99
- Total energy: -0.178 hartree per atom
- Energy above the lowest structure with this stoichiometry: 0.00 kcal/mol of atoms
- Calculated formation energy: -595 meV/atom

***

8.
DFT (GGA-PBE) results for crystalline K2Tl2Pd3 at its relaxed geometry.

Structure (POSCAR):
```
K2Tl2Pd3
1.0
6.128 -2.335 0.000
6.128 2.335 0.000
-4.372 0.000 6.174
K Tl Pd
2 2 3
Cartesian
0.762 0.000 1.811
7.122 0.000 4.363
-1.692 0.000 4.800
9.576 0.000 1.374
4.856 0.000 0.488
3.942 0.000 3.087
3.028 0.000 5.687
```

Results
- SG: No. 12
- Total energy: -0.123 hartree per atom
- Energy above the lowest structure with this stoichiometry: 0.00 kcal/mol of atoms
- Calculated formation energy: -140 meV/atom